This record from Alexandria describes a relaxed Rb3TcCl2F6 crystal. The functional is GGA-PBE.

Results
- ΔE_f (raw): -2180 meV/atom

Geometry as CIF:
```
data_Rb3TcCl2F6
_chemical_formula_sum 'Rb6 Tc2 Cl4 F12'
_cell_length_a 16.127
_cell_length_b 7.993
_cell_length_c 4.790
_cell_angle_alpha 90.00
_cell_angle_beta 102.48
_cell_angle_gamma 90.00
_symmetry_space_group_name_H-M 'C 1 2/m 1'
_symmetry_Int_Tables_number 12
_symmetry_space_group_name_Hall '-C 2y'
loop_
_atom_site_label
_atom_site_fract_x
_atom_site_fract_y
_atom_site_fract_z
Rb1 0.000 0.000 0.000
Rb2 0.250 0.250 0.500
Tc1 0.000 0.500 0.500
Cl1 0.190 0.000 0.948
F1 0.057 0.326 0.335
F2 0.091 0.500 0.820
```

***

This record from Alexandria describes a relaxed CaW6NCl18 crystal. The functional is GGA-PBE.

Results
- ΔE_f (raw): -956 meV/atom

Geometry as CIF:
```
data_CaW6NCl18
_chemical_formula_sum 'Ca2 W12 N2 Cl36'
_cell_length_a 9.3261
_cell_length_b 9.3261
_cell_length_c 17.9845
_cell_angle_alpha 90.00
_cell_angle_beta 90.00
_cell_angle_gamma 120.00
_symmetry_space_group_name_H-M 'P 63/m'
_symmetry_Int_Tables_number 176
_symmetry_space_group_name_Hall '-P 6c'
loop_
_atom_site_label
_atom_site_fract_x
_atom_site_fract_y
_atom_site_fract_z
Ca1 0.0000 0.0000 0.0000
W1 0.1920 0.4858 0.1638
N1 0.3333 0.6667 0.2500
Cl1 0.0116 0.7702 0.5970
Cl2 0.0404 0.5858 0.7500
Cl3 0.0777 0.7831 0.2500
Cl4 0.1112 0.6189 0.0714
```

***

This record from Alexandria describes a relaxed SrPr2Tl2 crystal. The functional is GGA-PBE.

Results
- Energy of formation from the pure elements: -210 meV/atom

Geometry as CIF:
```
data_SrPr2Tl2
_chemical_formula_sum 'Sr2 Pr4 Tl4'
_cell_length_a 3.886
_cell_length_b 22.917
_cell_length_c 3.865
_cell_angle_alpha 90.00
_cell_angle_beta 90.00
_cell_angle_gamma 90.00
_symmetry_space_group_name_H-M 'C m m m'
_symmetry_Int_Tables_number 65
_symmetry_space_group_name_Hall '-C 2 2'
loop_
_atom_site_label
_atom_site_fract_x
_atom_site_fract_y
_atom_site_fract_z
Sr1 0.000 0.000 0.000
Pr1 0.000 0.181 0.000
Tl1 0.000 0.403 0.500
```

***

This record from Alexandria describes a relaxed TbSc2Tl crystal. The functional is GGA-PBE.

Results
- Energy above the lowest structure with this stoichiometry: 0.115 eV per atom
- Energy of formation from the pure elements: -66 meV/atom

Geometry as CIF:
```
data_TbSc2Tl
_chemical_formula_sum 'Tb3 Sc6 Tl3'
_cell_length_a 3.4188
_cell_length_b 3.4188
_cell_length_c 31.3945
_cell_angle_alpha 90.00
_cell_angle_beta 90.00
_cell_angle_gamma 120.00
_symmetry_space_group_name_H-M 'R 3 m'
_symmetry_Int_Tables_number 160
_symmetry_space_group_name_Hall 'R 3 -2"'
loop_
_atom_site_label
_atom_site_fract_x
_atom_site_fract_y
_atom_site_fract_z
Tb1 0.0000 0.0000 0.0000
Sc1 0.0000 0.0000 0.5792
Sc2 0.0000 0.0000 0.7541
Tl1 0.0000 0.0000 0.1665
```

***

This record from Alexandria describes a relaxed ErThTcPd crystal. The functional is GGA-PBE.

Results
- Energy of formation from the pure elements: -444 meV/atom

Geometry as CIF:
```
data_ErThTcPd
_chemical_formula_sum 'Er4 Th4 Tc4 Pd4'
_cell_length_a 7.035
_cell_length_b 7.035
_cell_length_c 7.035
_cell_angle_alpha 90.00
_cell_angle_beta 90.00
_cell_angle_gamma 90.00
_symmetry_space_group_name_H-M 'F -4 3 m'
_symmetry_Int_Tables_number 216
_symmetry_space_group_name_Hall 'F -4 2 3'
loop_
_atom_site_label
_atom_site_fract_x
_atom_site_fract_y
_atom_site_fract_z
Er1 0.000 0.000 0.000
Th1 0.000 0.000 0.500
Tc1 0.250 0.250 0.750
Pd1 0.250 0.250 0.250
```

***

This record from Alexandria describes a relaxed TiBePS2 crystal. The functional is GGA-PBE.

Results
- ΔE_f (raw): 336 meV/atom
- Energy above the lowest structure with this stoichiometry: 0.140 eV per atom

Geometry as CIF:
```
data_TiBePS2
_chemical_formula_sum 'Ti1 Be1 P1 S2'
_cell_length_a 4.611
_cell_length_b 4.611
_cell_length_c 4.831
_cell_angle_alpha 90.00
_cell_angle_beta 90.00
_cell_angle_gamma 90.00
_symmetry_space_group_name_H-M 'P 4/m m m'
_symmetry_Int_Tables_number 123
_symmetry_space_group_name_Hall '-P 4 2'
loop_
_atom_site_label
_atom_site_fract_x
_atom_site_fract_y
_atom_site_fract_z
Ti1 0.000 0.000 0.000
Be1 0.500 0.500 0.500
P1 0.000 0.000 0.500
S1 0.000 0.500 0.000
```

***

This record from Alexandria describes a relaxed BaZn2CoHg crystal. The functional is GGA-PBE.

Results
- Energy of formation from the pure elements: -109 meV/atom

Geometry as CIF:
```
data_BaZn2CoHg
_chemical_formula_sum 'Ba1 Zn2 Co1 Hg1'
_cell_length_a 4.796
_cell_length_b 4.796
_cell_length_c 5.127
_cell_angle_alpha 90.00
_cell_angle_beta 90.00
_cell_angle_gamma 90.00
_symmetry_space_group_name_H-M 'P 4/m m m'
_symmetry_Int_Tables_number 123
_symmetry_space_group_name_Hall '-P 4 2'
loop_
_atom_site_label
_atom_site_fract_x
_atom_site_fract_y
_atom_site_fract_z
Ba1 0.000 0.000 0.000
Zn1 0.000 0.500 0.500
Co1 0.500 0.500 0.500
Hg1 0.500 0.500 0.000
```

***

This record from Alexandria describes a relaxed ScCuSe3 crystal. The functional is GGA-PBE.

Results
- ΔE_f (raw): -41 meV/atom
- Energy above the lowest structure with this stoichiometry: 0.150 eV per atom

Geometry as CIF:
```
data_ScCuSe3
_chemical_formula_sum 'Sc1 Cu1 Se3'
_cell_length_a 5.107
_cell_length_b 5.107
_cell_length_c 5.107
_cell_angle_alpha 90.00
_cell_angle_beta 90.00
_cell_angle_gamma 90.00
_symmetry_space_group_name_H-M 'P m -3 m'
_symmetry_Int_Tables_number 221
_symmetry_space_group_name_Hall '-P 4 2 3'
loop_
_atom_site_label
_atom_site_fract_x
_atom_site_fract_y
_atom_site_fract_z
Sc1 0.000 0.000 0.000
Cu1 0.500 0.500 0.500
Se1 0.000 0.000 0.500
```

***

This record from Alexandria describes a relaxed TbErNi crystal. The functional is GGA-PBE.

Results
- Energy above the lowest structure with this stoichiometry: 0.129 eV per atom
- Energy of formation from the pure elements: -166 meV/atom

Geometry as CIF:
```
data_TbErNi
_chemical_formula_sum 'Tb1 Er1 Ni1'
_cell_length_a 3.9193
_cell_length_b 3.9193
_cell_length_c 6.0851
_cell_angle_alpha 90.00
_cell_angle_beta 90.00
_cell_angle_gamma 120.00
_symmetry_space_group_name_H-M 'P 3 m 1'
_symmetry_Int_Tables_number 156
_symmetry_space_group_name_Hall 'P 3 -2"'
loop_
_atom_site_label
_atom_site_fract_x
_atom_site_fract_y
_atom_site_fract_z
Tb1 0.0000 0.0000 0.0000
Er1 0.3333 0.6667 0.4800
Ni1 0.6667 0.3333 0.2450
```

***

This record from Alexandria describes a relaxed Ca2NbMo crystal. The functional is GGA-PBE.

Results
- Energy above the lowest structure with this stoichiometry: 0.045 eV per atom
- Energy of formation from the pure elements: 1298 meV/atom

Geometry as CIF:
```
data_Ca2NbMo
_chemical_formula_sum 'Ca8 Nb4 Mo4'
_cell_length_a 8.335
_cell_length_b 8.335
_cell_length_c 5.630
_cell_angle_alpha 90.00
_cell_angle_beta 90.00
_cell_angle_gamma 90.00
_symmetry_space_group_name_H-M 'I -4 2 d'
_symmetry_Int_Tables_number 122
_symmetry_space_group_name_Hall 'I -4 2bw'
loop_
_atom_site_label
_atom_site_fract_x
_atom_site_fract_y
_atom_site_fract_z
Ca1 0.234 0.250 0.125
Nb1 0.000 0.000 0.500
Mo1 0.000 0.000 0.000
```

***

This record from Alexandria describes a relaxed Rb2HgBiI6 crystal. The functional is GGA-PBE.

Results
- ΔE_f (raw): -791 meV/atom

Geometry as CIF:
```
data_Rb2HgBiI6
_chemical_formula_sum 'Rb2 Hg1 Bi1 I6'
_cell_length_a 8.729
_cell_length_b 8.733
_cell_length_c 8.794
_cell_angle_alpha 90.04
_cell_angle_beta 119.73
_cell_angle_gamma 119.98
_symmetry_space_group_name_H-M 'P 1'
_symmetry_Int_Tables_number 1
_symmetry_space_group_name_Hall 'P 1'
loop_
_atom_site_label
_atom_site_fract_x
_atom_site_fract_y
_atom_site_fract_z
Rb1 0.000 0.000 0.000
Rb2 0.009 0.504 0.513
Hg1 0.556 0.778 0.333
Bi1 0.560 0.280 0.839
I1 0.053 0.454 0.094
I2 0.068 0.104 0.597
I3 0.493 0.964 0.596
I4 0.495 0.041 0.094
I5 0.633 0.529 0.597
I6 0.641 0.599 0.094
```

***

| no. | DOS(E_F) (states/eV/f.u.) | M_tot (μB/atom) | volume (A^3/atom) |
| --- | --- | --- | --- |
| 1 | 15.1 | 0.1555 | 25.116 |
| 2 | 7.9 | 0.0456 | 26.051 |
| 3 | 5.5 | 0.1196 | 34.422 |
| 4 | 4.9 | 0.0015 | 26.482 |
| 5 | 3.0 | 0.0000 | 21.758 |
| 6 | 4.0 | 0.0000 | 20.546 |
| 7 | 2.6 | 0.0000 | 23.590 |
| 8 | 6.8 | 0.0004 | 26.647 |
| 9 | 1.9 | 0.0000 | 26.983 |
| 10 | 3.9 | 0.1196 | 24.446 |
| 11 | 3.2 | 0.0000 | 47.595 |